# 1
Here is a geometry-optimized SrHf2NpO8 structure from the Alexandria database. Energies are from PBE.

Properties
raw formation energy	-3134	meV/atom
calculated total energy	-9.32	eV per atom
magnetic moment	0.08	μB per atom
V	14.4	A^3/atom

a = 5.060 Å, b = 5.059 Å, c = 6.744 Å
α = 90.00°, β = 90.00°, γ = 88.54°
Last column: magnetic moment on the atom in μB.
Fractional positions:
O (0.794, 0.207, 0.212)  -0.04
O (0.330, 0.330, 0.500)  0.00
O (0.794, 0.207, 0.788)  -0.04
O (0.206, 0.793, 0.212)  -0.04
O (0.697, 0.697, 0.000)  -0.03
O (0.206, 0.793, 0.788)  -0.04
O (0.670, 0.670, 0.500)  0.00
O (0.303, 0.303, 0.000)  -0.03
Np (0.000, 0.000, 0.000)  1.23
Hf (0.500, 0.500, 0.744)  -0.01
Hf (0.500, 0.500, 0.256)  -0.01
Sr (0.000, 0.000, 0.500)  0.00

# 2
Here is a geometry-optimized TbHfNpO6 structure from the Alexandria database. Energies are from PBE.

Properties
raw formation energy	-3250	meV/atom
calculated total energy	-9.61	eV per atom
magnetic moment	0.22	μB per atom
DOS at the Fermi energy	17.98	states/eV/cell
V	14.4	A^3/atom

a = 5.601 Å, b = 5.601 Å, c = 9.571 Å
α = 90.00°, β = 90.00°, γ = 120.00°
Last column: magnetic moment on the atom in μB.
Fractional positions:
Hf (0.667, 0.333, 0.750)  0.01
Hf (0.333, 0.667, 0.250)  0.01
O (0.993, 0.647, 0.864)  -0.04
O (0.346, 0.353, 0.364)  -0.04
O (0.654, 0.647, 0.636)  -0.04
O (0.007, 0.654, 0.364)  -0.04
O (0.654, 0.007, 0.864)  -0.04
O (0.007, 0.353, 0.136)  -0.04
O (0.353, 0.346, 0.864)  -0.04
O (0.993, 0.346, 0.636)  -0.04
O (0.353, 0.007, 0.636)  -0.04
O (0.647, 0.993, 0.364)  -0.04
O (0.346, 0.993, 0.136)  -0.04
O (0.647, 0.654, 0.136)  -0.04
Np (0.667, 0.333, 0.250)  2.19
Np (0.333, 0.667, 0.750)  2.19
Tb (0.000, 0.000, 0.000)  0.00
Tb (0.000, 0.000, 0.500)  0.00